Record 1
Material: AgAs2Au
Method: DFT, PBE-GGA
State: optimized geometry

```
data_AgAs2Au
_chemical_formula_sum 'Ag1 As2 Au1'
_symmetry_space_group_name_H-M 'P 1'
_symmetry_Int_Tables_number 1
_cell_length_a 4.811
_cell_length_b 4.811
_cell_length_c 5.285
_cell_angle_alpha 106.56
_cell_angle_beta 106.56
_cell_angle_gamma 42.17
loop_
_symmetry_equiv_pos_as_xyz
'x,y,z'
loop_
_atom_site_label
_atom_site_type_symbol
_atom_site_fract_x
_atom_site_fract_y
_atom_site_fract_z
Ag1 Ag 0.000 0.000 0.000
As1 As 0.227 0.227 0.769
As2 As 0.773 0.773 0.231
Au1 Au 0.500 0.500 0.500
```

- Space-group type: C2/m (12)
- ΔE to the lowest computed polymorph: 49 meV/atom
- DOS at the Fermi energy: 0.370 states/eV per atom
- Total energy: -3.66 eV per atom
- E_form: 198 meV per atom

Record 2
Material: AgAs2Au
Method: DFT, PBE-GGA
State: optimized geometry

```
data_AgAs2Au
_chemical_formula_sum 'Ag1 As2 Au1'
_symmetry_space_group_name_H-M 'P 1'
_symmetry_Int_Tables_number 1
_cell_length_a 3.018
_cell_length_b 4.388
_cell_length_c 5.727
_cell_angle_alpha 90.00
_cell_angle_beta 90.00
_cell_angle_gamma 90.00
loop_
_symmetry_equiv_pos_as_xyz
'x,y,z'
loop_
_atom_site_label
_atom_site_type_symbol
_atom_site_fract_x
_atom_site_fract_y
_atom_site_fract_z
Ag1 Ag 0.000 0.000 0.000
As1 As 0.000 0.000 0.507
As2 As 0.500 0.500 0.177
Au1 Au 0.500 0.500 0.680
```

- Space-group type: Pmm2 (25)
- ΔE to the lowest computed polymorph: 88 meV/atom
- DOS at the Fermi energy: 0.500 states/eV per atom
- Total energy: -3.62 eV per atom
- E_form: 237 meV per atom

Record 3
Material: AgAs2Au
Method: DFT, PBE-GGA
State: optimized geometry

```
data_AgAs2Au
_chemical_formula_sum 'Ag1 As2 Au1'
_symmetry_space_group_name_H-M 'P 1'
_symmetry_Int_Tables_number 1
_cell_length_a 5.381
_cell_length_b 5.381
_cell_length_c 5.556
_cell_angle_alpha 103.53
_cell_angle_beta 103.53
_cell_angle_gamma 30.51
loop_
_symmetry_equiv_pos_as_xyz
'x,y,z'
loop_
_atom_site_label
_atom_site_type_symbol
_atom_site_fract_x
_atom_site_fract_y
_atom_site_fract_z
Ag1 Ag 0.000 0.000 0.000
As1 As 0.271 0.271 0.699
As2 As 0.463 0.463 0.488
Au1 Au 0.746 0.746 0.186
```

- Space-group type: Cm (8)
- ΔE to the lowest computed polymorph: 64 meV/atom
- DOS at the Fermi energy: 0.247 states/eV per atom
- Total energy: -3.64 eV per atom
- E_form: 213 meV per atom

Record 4
Material: AgAs2Au
Method: DFT, PBE-GGA
State: optimized geometry

```
data_AgAs2Au
_chemical_formula_sum 'Ag1 As2 Au1'
_symmetry_space_group_name_H-M 'P 1'
_symmetry_Int_Tables_number 1
_cell_length_a 2.910
_cell_length_b 2.910
_cell_length_c 8.945
_cell_angle_alpha 90.00
_cell_angle_beta 90.00
_cell_angle_gamma 90.10
loop_
_symmetry_equiv_pos_as_xyz
'x,y,z'
loop_
_atom_site_label
_atom_site_type_symbol
_atom_site_fract_x
_atom_site_fract_y
_atom_site_fract_z
Ag1 Ag 0.000 0.000 0.000
As1 As 0.500 0.500 0.248
As2 As 0.500 0.500 0.752
Au1 Au 0.000 0.000 0.500
```

- Space-group type: Cmmm (65)
- ΔE to the lowest computed polymorph: 93 meV/atom
- DOS at the Fermi energy: 0.363 states/eV per atom
- Total energy: -3.62 eV per atom
- E_form: 241 meV per atom